1.
Compound: CuH3Rh3
Source: Alexandria
Functional: PBE-GGA
Structure: relaxed

Computed properties:
Magnetization ... 0.00 μB per formula unit
Energy above the lowest structure with this stoichiometry ... 134 meV per atom

The structure in POSCAR format:
```
CuH3Rh3
1.0
-3.1529 4.0654 -0.3559
-1.6493 -1.6807 -4.5880
-3.7328 -2.6912 2.3277
H Rh Cu
6 6 2
Direct
0.2500 0.0000 0.5000
0.0000 0.5000 0.2500
0.5000 0.7500 0.0000
0.7500 0.0000 0.5000
0.0000 0.5000 0.7500
0.5000 0.2500 0.0000
0.0000 0.2500 0.5000
0.0000 0.7500 0.5000
0.5000 0.0000 0.7500
0.7500 0.5000 0.0000
0.5000 0.0000 0.2500
0.2500 0.5000 0.0000
0.5000 0.5000 0.5000
0.0000 0.0000 0.0000
```

=====

2.
Compound: BaMg3F
Source: Alexandria
Functional: PBE-GGA
Structure: relaxed

Computed properties:
Magnetization ... 0.00 μB per formula unit
Energy above the lowest structure with this stoichiometry ... 1207 meV per atom
Formation energy (no corrections) ... 55.0 kJ/mol of atoms

The structure in POSCAR format:
```
BaMg3F
1.0
-7.0536 0.6014 0.6742
-0.8686 -3.0556 -6.3622
-0.2483 -6.3930 3.1043
Mg Ba F
3 1 1
Direct
0.0000 0.5000 0.0000
0.0000 0.0000 0.5000
0.5000 0.0000 0.0000
0.0000 0.0000 0.0000
0.5000 0.5000 0.5000
```